Nd2InCu | PBE | relaxed

Values from the calculation:
For the magnetization, the calculation gives 0.000 μB per formula unit. The formation energy comes out at 0.154 eV/atom. Its density of states at the Fermi level is 1.091 states/eV/atom.

```
Nd2InCu
1.0
3.5218 0.0000 0.0000
1.7609 3.0500 0.0000
1.7609 1.0167 10.9741
In Nd Cu
1 2 1
Direct
0.0000 0.0000 0.0000
0.1012 0.1012 0.6964
0.8988 0.8988 0.3036
0.5000 0.5000 0.5000
```

MgP2SO | PBE | relaxed

Values from the calculation:
For the magnetization, the calculation gives 0.000 μB per formula unit. The uncorrected formation energy is 2.667 eV per formula unit. For the energy above the most stable polymorph in this dataset, the calculation gives 461 meV per atom. Its density of states at the Fermi level is 0.764 states/eV/atom.

```
MgP2SO
1.0
4.9263 0.0000 0.0000
0.0000 4.9263 0.0000
0.0000 0.0000 3.6265
P O Mg S
2 1 1 1
Direct
0.0000 0.5000 0.0000
0.5000 0.0000 0.0000
0.0000 0.0000 0.5000
0.0000 0.0000 0.0000
0.5000 0.5000 0.5000
```

Q: What is the magnetization in the first record?
A: 0.000 μB per formula unit

Q: Look up the magnetization of the first one.
A: 0.000 μB per formula unit